[1]
Here is AcAgGe2Se4 after structural relaxation from Alexandria via LeMat-Bulk. Energies are from PBE.

Cell lengths 7.193, 7.193, 14.180 Å; angles 90.00, 90.00, 145.89 degrees
Positions (direct):
Ac 0.126 0.874 0.750
Ac 0.874 0.126 0.250
Ag 0.145 0.855 0.250
Ag 0.855 0.145 0.750
Ge 0.376 0.624 0.552
Ge 0.376 0.624 0.948
Ge 0.624 0.376 0.052
Ge 0.624 0.376 0.448
Se 0.000 0.000 0.000
Se 0.000 0.000 0.500
Se 0.276 0.724 0.111
Se 0.276 0.724 0.389
Se 0.465 0.535 0.750
Se 0.535 0.465 0.250
Se 0.724 0.276 0.611
Se 0.724 0.276 0.889

Values from the calculation:
spin magnetization = 0.000 μB/atom
energy relative to the elements, uncorrected = -5.52 eV per formula unit
V = 411 Å³/cell
total DFT energy (no corrections) = -35.6 eV per formula unit
symmetry = Cmcm

[2]
Here is Tl2SiBr after structural relaxation from Alexandria via LeMat-Bulk. Energies are from PBE.

Cell lengths 7.588, 7.588, 7.588 Å; angles 90.00, 90.00, 90.00 degrees
Positions (direct):
Tl 0.250 0.250 0.250
Tl 0.250 0.250 0.750
Tl 0.250 0.750 0.250
Tl 0.250 0.750 0.750
Tl 0.750 0.250 0.250
Tl 0.750 0.250 0.750
Tl 0.750 0.750 0.250
Tl 0.750 0.750 0.750
Si 0.000 0.000 0.000
Si 0.000 0.500 0.500
Si 0.500 0.000 0.500
Si 0.500 0.500 0.000
Br 0.000 0.000 0.500
Br 0.000 0.500 0.000
Br 0.500 0.000 0.000
Br 0.500 0.500 0.500

Values from the calculation:
spin magnetization = 0.000 μB/atom
energy relative to the elements, uncorrected = 0.94 eV per formula unit
polymorph energy (0 for the lowest one) = 172.3 meV/atom
V = 437 Å³/cell
total DFT energy (no corrections) = -10.9 eV per formula unit
symmetry = Fm-3m

[3]
Here is AlNi4Ag after structural relaxation from Alexandria via LeMat-Bulk. Energies are from PBE.

Cell lengths 4.759, 4.759, 4.759 Å; angles 60.00, 60.00, 60.00 degrees
Positions (direct):
Al 0.000 0.000 0.000
Ni 0.375 0.375 0.375
Ni 0.375 0.375 0.876
Ni 0.375 0.876 0.375
Ni 0.876 0.375 0.375
Ag 0.750 0.750 0.750

Values from the calculation:
spin magnetization = 0.279 μB/atom
calculated formation energy = -0.35 eV/f.u.
V = 76 Å³/cell
total DFT energy (no corrections) = -30.1 eV per formula unit
symmetry = F-43m

[4]
Here is Ga4HgPb after structural relaxation from Alexandria via LeMat-Bulk. Energies are from PBE.

Cell lengths 5.764, 5.764, 5.764 Å; angles 60.00, 60.00, 60.00 degrees
Positions (direct):
Ga 0.125 0.125 0.125
Ga 0.125 0.125 0.626
Ga 0.125 0.626 0.125
Ga 0.626 0.125 0.125
Hg 0.750 0.750 0.750
Pb 0.500 0.500 0.500

Values from the calculation:
spin magnetization = 0.000 μB/atom
calculated formation energy = 0.41 eV/f.u.
V = 135 Å³/cell
total DFT energy (no corrections) = -15.7 eV per formula unit
symmetry = F-43m